(1)
Here is NdSi2H after structural relaxation from OQMD via LeMat-Bulk. Energies are from PBE-GGA.

V = 141 Å³ per cell
total moment = 0.002 μB per formula unit
energy = -5.0202 eV/atom

Lattice parameters (Å, degrees): 4.385 3.880 8.384 90.00 98.11 90.00
Element x y z (fractional)
Nd (0.116, 0.250, 0.238)
Nd (0.884, 0.750, 0.762)
Si (0.338, 0.750, 0.510)
Si (0.478, 0.250, 0.910)
Si (0.522, 0.750, 0.090)
Si (0.662, 0.250, 0.490)
H (0.109, 0.250, 0.897)
H (0.891, 0.750, 0.103)

=====

(2)
Here is PmGaRe after structural relaxation from OQMD via LeMat-Bulk. Energies are from PBE-GGA.

V = 75 Å³ per cell
total moment = 1.004 μB per formula unit
energy above the lowest structure with this stoichiometry = 796.5 meV per atom

Lattice parameters (Å, degrees): 4.742 4.742 4.742 60.00 60.00 60.00
Element x y z (fractional)
Pm (0.000, 0.000, 0.000)
Ga (0.750, 0.750, 0.750)
Re (0.250, 0.250, 0.250)

=====

(3)
Here is Pr2Fe2I after structural relaxation from OQMD via LeMat-Bulk. Energies are from PBE-GGA.

V = 126 Å³ per cell
total moment = 2.272 μB per formula unit
energy = -5.9949 eV/atom

Lattice parameters (Å, degrees): 4.009 4.009 9.047 90.00 90.00 120.00
Element x y z (fractional)
Pr (0.000, 0.000, 0.215)
Pr (0.000, 0.000, 0.785)
Fe (0.333, 0.667, 0.000)
Fe (0.667, 0.333, 0.000)
I (0.667, 0.333, 0.500)

=====

(4)
Here is KPtO3 after structural relaxation from OQMD via LeMat-Bulk. Energies are from PBE-GGA.

V = 173 Å³ per cell
total moment = 1.000 μB per formula unit
energy = -4.9260 eV/atom

Lattice parameters (Å, degrees): 6.094 6.094 6.094 63.58 63.58 63.58
Element x y z (fractional)
K (0.000, 0.000, 0.000)
K (0.500, 0.500, 0.500)
Pt (0.250, 0.250, 0.250)
Pt (0.750, 0.750, 0.750)
O (0.030, 0.750, 0.470)
O (0.250, 0.530, 0.970)
O (0.470, 0.030, 0.750)
O (0.530, 0.970, 0.250)
O (0.750, 0.470, 0.030)
O (0.970, 0.250, 0.530)